The following is a DFT calculation (SCAN) of a crystal of ReNiRu relaxed with PBEsol.

Structure (POSCAR):
```
ReNiRu
1.0
2.6656 0.0000 0.0000
-1.3328 2.3085 0.0000
0.0000 0.0000 6.3603
Re Ni Ru
1 1 1
direct
0.0000 0.0000 0.0000
0.6667 0.3333 0.3317
0.3333 0.6667 0.6656
```

Calculated values
For the formation energy, the calculation gives 0.11 eV/atom. The value obtained for the total energy is -121.8 eV per formula unit. The energy above the lowest structure with this stoichiometry is 111 meV per atom.